Record 1
This record from Alexandria via LeMat-Bulk describes a relaxed TlZnBr3 crystal. The functional is PBE-GGA.

Cell lengths 5.4483, 8.1493, 8.1456 Å; angles 75.12, 88.57, 88.55 degrees
With the nearest neighbours (Å) after each atom.
Positions (direct):
Tl1 0.9354 0.1596 0.5987  5 Br 3.31-3.64
Tl2 0.5497 0.7448 0.1835  5 Br 3.31-3.64
Br1 0.9803 0.0320 0.0586  1 Zn 2.39
Br2 0.5046 0.2847 0.3116  1 Zn 2.39
Br3 0.5045 0.8725 0.7237  1 Zn 2.39
Br4 0.9802 0.6195 0.4709  1 Zn 2.39
Br5 0.5061 0.3518 0.7908  2 Zn 2.52
Br6 0.9783 0.5524 0.9912  2 Zn 2.52
Zn1 0.7419 0.6233 0.7198  4 Br 2.39-2.52
Zn2 0.7423 0.2811 0.0624  4 Br 2.39-2.52

Computed properties:
magnetization = 0.0 Bohr magnetons per cell
E = -2.605 eV/atom
energy relative to the elements, uncorrected = -84.3 kJ/mol of atoms
crystal system = monoclinic


Record 2
This record from Alexandria via LeMat-Bulk describes a relaxed TlSb2Te2 crystal. The functional is PBE-GGA.

Cell lengths 6.0384, 6.0384, 6.3977 Å; angles 61.84, 61.84, 90.00 degrees
With the nearest neighbours (Å) after each atom.
Positions (direct):
Sb1 0.3376 0.3376 0.3247  1 Sb 3.09, 4 Te 3.13, 1 Tl 3.22
Sb2 0.6624 0.6624 0.6753  1 Sb 3.09, 4 Te 3.13, 1 Tl 3.22
Te1 0.2500 0.7500 0.5000  4 Sb 3.13
Te2 0.7500 0.2500 0.5000  4 Sb 3.13
Tl1 0.0000 0.0000 0.0000  2 Sb 3.22

Computed properties:
magnetization = 0.0 Bohr magnetons per cell
E = -3.380 eV/atom
energy relative to the elements, uncorrected = -0.1 kJ/mol of atoms
crystal system = tetragonal


Record 3
This record from Alexandria via LeMat-Bulk describes a relaxed Mg6HgRh crystal. The functional is PBE-GGA.

Cell lengths 4.7397, 4.7397, 8.3433 Å; angles 73.50, 73.50, 60.00 degrees
With the nearest neighbours (Å) after each atom.
Positions (direct):
Mg1 0.1192 0.1192 0.6424  1 Rh 2.82, 3 Mg 2.89, 3 Hg 2.96
Mg2 0.3707 0.3707 0.8879  4 Mg 2.76-2.91, 3 Rh 2.88, 1 Hg 3.06
Mg3 0.8808 0.8808 0.3576  1 Rh 2.82, 3 Mg 2.89, 3 Hg 2.96
Mg4 0.2538 0.2538 0.2387  7 Mg 2.76-2.91
Mg5 0.6293 0.6293 0.1121  4 Mg 2.76-2.91, 3 Rh 2.88, 1 Hg 3.06
Mg6 0.7462 0.7462 0.7613  7 Mg 2.76-2.91
Rh1 0.0000 0.0000 0.0000  8 Mg 2.82-2.88
Hg1 0.5000 0.5000 0.5000  8 Mg 2.96-3.06

Computed properties:
magnetization = 0.0 Bohr magnetons per cell
E = -2.357 eV/atom
crystal system = trigonal
DFT formation energy = -0.205 eV per atom


Record 4
This record from Alexandria via LeMat-Bulk describes a relaxed Na2LiInO crystal. The functional is PBE-GGA.

Cell lengths 5.1509, 5.1509, 3.7324 Å; angles 90.00, 90.00, 90.00 degrees
With the nearest neighbours (Å) after each atom.
Positions (direct):
O1 0.0000 0.0000 0.0000  2 Li 1.87
Na1 0.0000 0.5000 0.0000  2 O 2.58
Na2 0.5000 0.0000 0.0000  2 O 2.58
In1 0.5000 0.5000 0.5000  8 Na 3.18
Li1 0.0000 0.0000 0.5000  2 O 1.87

Computed properties:
magnetization = 0.0 Bohr magnetons per cell
E = -3.116 eV/atom
energy relative to the elements, uncorrected = -64.3 kJ/mol of atoms
crystal system = tetragonal


Record 5
This record from Alexandria via LeMat-Bulk describes a relaxed Cu2NiH crystal. The functional is PBE-GGA.

Cell lengths 2.5671, 2.5679, 11.1525 Å; angles 90.00, 90.00, 90.00 degrees
With the nearest neighbours (Å) after each atom.
Positions (direct):
Cu1 0.7500 0.8370 0.7576  1 H 1.99
Cu2 0.7500 0.8376 0.0809  12 Cu 2.56-2.57
Cu3 0.2500 0.3376 0.9191  12 Cu 2.56-2.57
Cu4 0.2500 0.3370 0.2424  1 H 1.99
H1 0.2500 0.3351 0.4205  5 Ni 1.82-1.88, 1 Cu 1.99
H2 0.7500 0.8351 0.5795  5 Ni 1.82-1.88, 1 Cu 1.99
Ni1 0.7500 0.8357 0.4111  5 H 1.82-1.88
Ni2 0.2500 0.3357 0.5889  5 H 1.82-1.88

Computed properties:
magnetization = 0.0 Bohr magnetons per cell
E = -4.359 eV/atom
crystal system = tetragonal


Record 6
This record from Alexandria via LeMat-Bulk describes a relaxed Na3Mg2Pb3 crystal. The functional is PBE-GGA.

Cell lengths 3.3143, 8.8050, 8.8050 Å; angles 120.00, 90.00, 90.00 degrees
With the nearest neighbours (Å) after each atom.
Positions (direct):
Na1 0.0000 0.2434 0.0000  4 Na 3.31-3.71, 2 Mg 3.40, 6 Pb 3.42-3.64
Na2 0.0000 0.0000 0.2434  4 Na 3.31-3.71, 2 Mg 3.40, 6 Pb 3.42-3.64
Na3 0.0000 0.7566 0.7566  4 Na 3.31-3.71, 2 Mg 3.40, 6 Pb 3.42-3.64
Pb1 0.5000 0.3889 0.3889  4 Mg 3.19, 2 Pb 3.31, 4 Na 3.42
Pb2 0.5000 0.0000 0.6111  4 Mg 3.19, 2 Pb 3.31, 4 Na 3.42
Pb3 0.5000 0.6111 0.0000  4 Mg 3.19, 2 Pb 3.31, 4 Na 3.42
Mg1 0.0000 0.6667 0.3333  6 Pb 3.19, 2 Mg 3.31, 3 Na 3.40
Mg2 0.0000 0.3333 0.6667  6 Pb 3.19, 2 Mg 3.31, 3 Na 3.40

Computed properties:
magnetization = 0.0 Bohr magnetons per cell
E = -2.416 eV/atom
crystal system = hexagonal
DFT formation energy = -0.132 eV per atom